Computed, not measured: crystalline Si4H at its relaxed geometry at the PBE-GGA level of DFT.

## Properties
Energy ... -4.36 eV per atom
M_tot ... 0.00 μB per cell

Geometry as CIF:
```
data_Si4H
_chemical_formula_sum 'Si4 H1'
_cell_length_a 3.9457
_cell_length_b 3.9457
_cell_length_c 3.9457
_cell_angle_alpha 90.00
_cell_angle_beta 90.00
_cell_angle_gamma 90.00
_space_group_name_H-M_alt 'P m -3 m'
_space_group_IT_number 221
_space_group_name_Hall '-P 4 2 3'
loop_
_atom_site_label
_atom_site_fract_x
_atom_site_fract_y
_atom_site_fract_z
Si1 0.0000 0.0000 0.0000
Si2 0.0000 0.5000 0.5000
H1 0.5000 0.5000 0.5000
```



Computed, not measured: crystalline YSiMo at its relaxed geometry at the PBE-GGA level of DFT.

## Properties
Energy ... -7.77 eV per atom
M_tot ... 0.00 μB per cell
Formation energy from raw total energies ... -0.20 eV/atom

Geometry as CIF:
```
data_YSiMo
_chemical_formula_sum 'Y1 Si1 Mo1'
_cell_length_a 4.2616
_cell_length_b 4.2616
_cell_length_c 3.8840
_cell_angle_alpha 90.00
_cell_angle_beta 90.00
_cell_angle_gamma 120.00
_space_group_name_H-M_alt 'P -6 m 2'
_space_group_IT_number 187
_space_group_name_Hall 'P -6 2'
loop_
_atom_site_label
_atom_site_fract_x
_atom_site_fract_y
_atom_site_fract_z
Y1 0.0000 0.0000 0.0000
Si1 0.3333 0.6667 0.5000
Mo1 0.6667 0.3333 0.5000
```



Computed, not measured: crystalline YSiSe2Br at its relaxed geometry at the PBE-GGA level of DFT.

## Properties
Energy ... -4.56 eV per atom
M_tot ... 0.00 μB per cell
E above lowest polymorph ... 0.00 eV per formula unit
Formation energy from raw total energies ... -0.45 eV/atom

Geometry as CIF:
```
data_YSiSe2Br
_chemical_formula_sum 'Y1 Si1 Se2 Br1'
_cell_length_a 5.0194
_cell_length_b 5.0194
_cell_length_c 4.8601
_cell_angle_alpha 90.00
_cell_angle_beta 90.00
_cell_angle_gamma 90.00
_space_group_name_H-M_alt 'P 4/m m m'
_space_group_IT_number 123
_space_group_name_Hall '-P 4 2'
loop_
_atom_site_label
_atom_site_fract_x
_atom_site_fract_y
_atom_site_fract_z
Y1 0.0000 0.0000 0.0000
Si1 0.5000 0.5000 0.5000
Se1 0.0000 0.5000 0.5000
Br1 0.5000 0.5000 0.0000
```



Computed, not measured: crystalline BaIrOs2 at its relaxed geometry at the PBE-GGA level of DFT.

## Properties
Energy ... -7.35 eV per atom
M_tot ... 0.00 μB per cell
Calculated formation energy ... 0.97 eV/atom
E above lowest polymorph ... 2.74 eV per formula unit

Geometry as CIF:
```
data_BaIrOs2
_chemical_formula_sum 'Ba3 Ir3 Os6'
_cell_length_a 2.9081
_cell_length_b 2.9081
_cell_length_c 30.4819
_cell_angle_alpha 90.00
_cell_angle_beta 90.00
_cell_angle_gamma 120.00
_space_group_name_H-M_alt 'R 3 m'
_space_group_IT_number 160
_space_group_name_Hall 'R 3 -2"'
loop_
_atom_site_label
_atom_site_fract_x
_atom_site_fract_y
_atom_site_fract_z
Ba1 0.0000 0.0000 0.0000
Ir1 0.0000 0.0000 0.2366
Os1 0.0000 0.0000 0.5004
Os2 0.0000 0.0000 0.7667
```



Computed, not measured: crystalline Ac3In3Ga8 at its relaxed geometry at the PBE-GGA level of DFT.

## Properties
Energy ... -3.64 eV per atom
M_tot ... 0.00 μB per cell
Calculated formation energy ... -0.44 eV/atom

Geometry as CIF:
```
data_Ac3In3Ga8
_chemical_formula_sum 'Ac6 In6 Ga16'
_cell_length_a 4.5180
_cell_length_b 10.3803
_cell_length_c 14.4091
_cell_angle_alpha 90.00
_cell_angle_beta 90.00
_cell_angle_gamma 90.00
_space_group_name_H-M_alt 'I m m m'
_space_group_IT_number 71
_space_group_name_Hall '-I 2 2'
loop_
_atom_site_label
_atom_site_fract_x
_atom_site_fract_y
_atom_site_fract_z
Ac1 0.0000 0.0000 0.0000
Ac2 0.0000 0.0000 0.3143
In1 0.0000 0.2262 0.5000
In2 0.0000 0.5000 0.0000
Ga1 0.0000 0.2651 0.1550
Ga2 0.0000 0.3724 0.3327
```



Computed, not measured: crystalline AcBrF at its relaxed geometry at the PBE-GGA level of DFT.

## Properties
Energy ... -5.16 eV per atom
M_tot ... 0.00 μB per cell
E above lowest polymorph ... 0.00 eV per formula unit
Formation energy from raw total energies ... -2.61 eV/atom

Geometry as CIF:
```
data_AcBrF
_chemical_formula_sum 'Ac2 Br2 F2'
_cell_length_a 3.9532
_cell_length_b 4.4407
_cell_length_c 10.8749
_cell_angle_alpha 90.48
_cell_angle_beta 90.37
_cell_angle_gamma 90.04
_space_group_name_H-M_alt 'P -1'
_space_group_IT_number 2
loop_
_space_group_symop_operation_xyz
'x,y,z'
'-x,-y,-z'
loop_
_atom_site_label
_atom_site_fract_x
_atom_site_fract_y
_atom_site_fract_z
Ac1 0.0023 0.2536 0.1680
Br1 0.4952 0.2433 0.6794
F1 0.9996 0.2486 0.9355
```



Computed, not measured: crystalline Ce3Tm2NpN6 at its relaxed geometry at the PBE-GGA level of DFT.

## Properties
Energy ... -8.99 eV per atom
M_tot ... 7.82 μB per cell
Formation energy from raw total energies ... -1.52 eV/atom

Geometry as CIF:
```
data_Ce3Tm2NpN6
_chemical_formula_sum 'Ce6 Tm4 Np2 N12'
_cell_length_a 6.0155
_cell_length_b 10.4176
_cell_length_c 6.0905
_cell_angle_alpha 90.00
_cell_angle_beta 109.24
_cell_angle_gamma 90.00
_space_group_name_H-M_alt 'C 1 2/m 1'
_space_group_IT_number 12
loop_
_space_group_symop_operation_xyz
'x,y,z'
'-x,-y,-z'
'-x,y,-z'
'x,-y,z'
'x+1/2,y+1/2,z'
'-x+1/2,-y+1/2,-z'
'-x+1/2,y+1/2,-z'
'x+1/2,-y+1/2,z'
loop_
_atom_site_label
_atom_site_fract_x
_atom_site_fract_y
_atom_site_fract_z
Ce1 0.0000 0.0000 0.0000
Ce2 0.0000 0.3319 0.0000
Tm1 0.0000 0.1665 0.5000
Np1 0.0000 0.5000 0.5000
N1 0.2388 0.3381 0.7305
N2 0.2464 0.5000 0.2682
```



Computed, not measured: crystalline TbTh5Sn4 at its relaxed geometry at the PBE-GGA level of DFT.

## Properties
Energy ... -6.03 eV per atom
M_tot ... 0.00 μB per cell
Calculated formation energy ... -0.26 eV/atom

Geometry as CIF:
```
data_TbTh5Sn4
_chemical_formula_sum 'Tb2 Th10 Sn8'
_cell_length_a 16.7572
_cell_length_b 5.5295
_cell_length_c 6.9731
_cell_angle_alpha 90.00
_cell_angle_beta 90.65
_cell_angle_gamma 90.00
_space_group_name_H-M_alt 'C 1 2/m 1'
_space_group_IT_number 12
loop_
_space_group_symop_operation_xyz
'x,y,z'
'-x,-y,-z'
'-x,y,-z'
'x,-y,z'
'x+1/2,y+1/2,z'
'-x+1/2,-y+1/2,-z'
'-x+1/2,y+1/2,-z'
'x+1/2,-y+1/2,z'
loop_
_atom_site_label
_atom_site_fract_x
_atom_site_fract_y
_atom_site_fract_z
Tb1 0.0000 0.0000 0.0000
Th1 0.0000 0.0000 0.5000
Th2 0.1649 0.5000 0.5005
Th3 0.1687 0.5000 0.0062
Sn1 0.0050 0.5000 0.7596
Sn2 0.1690 0.0000 0.2492
```



Computed, not measured: crystalline Sr3LaTa at its relaxed geometry at the PBE-GGA level of DFT.

## Properties
Energy ... -2.64 eV per atom
M_tot ... 1.98 μB per cell
Calculated formation energy ... 1.73 eV/atom
E above lowest polymorph ... 3.44 eV per formula unit

Geometry as CIF:
```
data_Sr3LaTa
_chemical_formula_sum 'Sr3 La1 Ta1'
_cell_length_a 6.0274
_cell_length_b 6.0274
_cell_length_c 6.0274
_cell_angle_alpha 90.00
_cell_angle_beta 90.00
_cell_angle_gamma 90.00
_space_group_name_H-M_alt 'P m -3 m'
_space_group_IT_number 221
_space_group_name_Hall '-P 4 2 3'
loop_
_atom_site_label
_atom_site_fract_x
_atom_site_fract_y
_atom_site_fract_z
Sr1 0.0000 0.0000 0.5000
La1 0.0000 0.0000 0.0000
Ta1 0.5000 0.5000 0.5000
```



Computed, not measured: crystalline Cs12H5Cl3 at its relaxed geometry at the PBE-GGA level of DFT.

## Properties
Energy ... -2.15 eV per atom
M_tot ... 21.86 μB per cell

Geometry as CIF:
```
data_Cs12H5Cl3
_chemical_formula_sum 'Cs96 H40 Cl24'
_cell_length_a 19.9272
_cell_length_b 19.9272
_cell_length_c 19.9272
_cell_angle_alpha 90.00
_cell_angle_beta 90.00
_cell_angle_gamma 90.00
_space_group_name_H-M_alt 'I a -3 d'
_space_group_IT_number 230
_space_group_name_Hall '-I 4bd 2c 3'
loop_
_atom_site_label
_atom_site_fract_x
_atom_site_fract_y
_atom_site_fract_z
Cs1 0.0278 0.0498 0.6549
H1 0.0000 0.0000 0.0000
H2 0.0000 0.2500 0.3750
Cl1 0.0000 0.2500 0.1250
```



Computed, not measured: crystalline MnFeBP at its relaxed geometry at the PBE-GGA level of DFT.

## Properties
Energy ... -7.55 eV per atom
M_tot ... 2.81 μB per cell
Calculated formation energy ... -0.12 eV/atom
E above lowest polymorph ... 0.74 eV per formula unit

Geometry as CIF:
```
data_MnFeBP
_chemical_formula_sum 'Mn2 Fe2 B2 P2'
_cell_length_a 7.7893
_cell_length_b 2.6478
_cell_length_c 3.8277
_cell_angle_alpha 90.00
_cell_angle_beta 105.64
_cell_angle_gamma 90.00
_space_group_name_H-M_alt 'C 1 m 1'
_space_group_IT_number 8
loop_
_space_group_symop_operation_xyz
'x,y,z'
'x,-y,z'
'x+1/2,y+1/2,z'
'x+1/2,-y+1/2,z'
loop_
_atom_site_label
_atom_site_fract_x
_atom_site_fract_y
_atom_site_fract_z
Mn1 0.0000 0.0000 0.0000
Fe1 0.2752 0.5000 0.3910
B1 0.0073 0.5000 0.4920
P1 0.2515 0.0000 0.8486
```



Computed, not measured: crystalline La3Dy2HoSe6 at its relaxed geometry at the PBE-GGA level of DFT.

## Properties
Energy ... -6.00 eV per atom
M_tot ... 0.00 μB per cell
Formation energy from raw total energies ... -1.88 eV/atom

Geometry as CIF:
```
data_La3Dy2HoSe6
_chemical_formula_sum 'La6 Dy4 Ho2 Se12'
_cell_length_a 7.1766
_cell_length_b 12.4729
_cell_length_c 7.3711
_cell_angle_alpha 90.00
_cell_angle_beta 109.02
_cell_angle_gamma 90.00
_space_group_name_H-M_alt 'C 1 2/m 1'
_space_group_IT_number 12
loop_
_space_group_symop_operation_xyz
'x,y,z'
'-x,-y,-z'
'-x,y,-z'
'x,-y,z'
'x+1/2,y+1/2,z'
'-x+1/2,-y+1/2,-z'
'-x+1/2,y+1/2,-z'
'x+1/2,-y+1/2,z'
loop_
_atom_site_label
_atom_site_fract_x
_atom_site_fract_y
_atom_site_fract_z
La1 0.0000 0.0000 0.0000
La2 0.0000 0.3326 0.0000
Dy1 0.0000 0.1665 0.5000
Ho1 0.0000 0.5000 0.5000
Se1 0.2425 0.3339 0.7299
Se2 0.2448 0.0000 0.7307
```